1.
Here is a relaxed SiNiRh4 crystal from Alexandria. Energies are from PBE-GGA.

Lattice parameters (Å, degrees): 5.055 5.055 5.055 60.00 60.00 60.00
Site moments in Bohr magnetons follow the coordinates.
Atoms (fractional coordinates):
Rh: 0.375 0.375 0.875  0.29
Rh: 0.375 0.875 0.375  0.29
Rh: 0.875 0.375 0.375  0.29
Rh: 0.375 0.375 0.375  0.29
Ni: 0.000 0.000 0.000  0.70
Si: 0.750 0.750 0.750  0.00

**Total moment**: 1.84 μB/f.u.
**ΔE_f (raw)**: 0.484 eV/atom
**V**: 91.3 Å³/f.u.

2.
Here is a relaxed Li3CeHo2Te6 crystal from Alexandria. Energies are from PBE-GGA.

Lattice parameters (Å, degrees): 7.588 7.588 7.497 99.71 99.71 120.01
Site moments in Bohr magnetons follow the coordinates.
Atoms (fractional coordinates):
Te: 0.572 0.915 0.743  -0.01
Te: 0.915 0.572 0.743  -0.01
Te: 0.428 0.085 0.257  -0.01
Te: 0.085 0.428 0.257  -0.01
Te: 0.257 0.257 0.742  -0.01
Te: 0.743 0.743 0.258  -0.01
Li: 0.833 0.167 0.500  0.00
Li: 0.167 0.833 0.500  0.00
Li: 0.500 0.500 0.500  0.00
Ho: 0.333 0.667 0.000  0.01
Ho: 0.667 0.333 0.000  0.01
Ce: 0.000 0.000 0.000  0.95

**Total moment**: 1.00 μB/f.u.
**ΔE_f (raw)**: -1.261 eV/atom
**V**: 351.9 Å³/f.u.

3.
Here is a relaxed LaZnOs2 crystal from Alexandria. Energies are from PBE-GGA.

Lattice parameters (Å, degrees): 9.773 9.773 9.773 16.94 16.94 16.94
Site moments in Bohr magnetons follow the coordinates.
Atoms (fractional coordinates):
Os: 0.511 0.511 0.511  0.00
Os: 0.989 0.989 0.989  0.00
La: 0.750 0.750 0.750  0.16
Zn: 0.250 0.250 0.250  0.00

**VASP energy**: -6.52 eV/atom
**Total moment**: 0.19 μB/f.u.
**V**: 69.1 Å³/f.u.

4.
Here is a relaxed Dy3Y3Pd2 crystal from Alexandria. Energies are from PBE-GGA.

Lattice parameters (Å, degrees): 3.845 6.649 18.097 90.00 90.00 106.80
Atoms (fractional coordinates):
Y: 0.355 0.709 0.750
Y: 0.052 0.105 0.895
Y: 0.948 0.895 0.395
Y: 0.948 0.895 0.105
Y: 0.645 0.291 0.250
Y: 0.052 0.105 0.605
Pd: 0.751 0.503 0.630
Pd: 0.249 0.497 0.130
Pd: 0.249 0.497 0.370
Pd: 0.751 0.503 0.870
Dy: 0.346 0.692 0.543
Dy: 0.380 0.759 0.250
Dy: 0.654 0.308 0.457
Dy: 0.620 0.241 0.750
Dy: 0.654 0.308 0.043
Dy: 0.346 0.692 0.957

**VASP energy**: -5.82 eV/atom
**Total moment**: 0.00 μB/f.u.
**V**: 221.5 Å³/f.u.

5.
Here is a relaxed LaTb2Nd5Ho crystal from Alexandria. Energies are from PBE-GGA.

Lattice parameters (Å, degrees): 9.419 9.419 9.783 118.78 118.78 90.00
Atoms (fractional coordinates):
Nd: 0.666 0.166 0.737
Nd: 0.000 0.000 0.000
Nd: 0.572 0.666 0.737
Nd: 0.334 0.834 0.263
Nd: 0.834 0.928 0.263
Nd: 0.166 0.072 0.737
Nd: 0.428 0.334 0.263
Nd: 0.072 0.572 0.737
Nd: 0.928 0.428 0.263
Nd: 0.500 0.500 0.000
La: 0.750 0.750 0.500
La: 0.250 0.250 0.500
Ho: 0.250 0.750 0.500
Ho: 0.750 0.250 0.500
Tb: 0.391 0.891 0.000
Tb: 0.609 0.109 0.000
Tb: 0.109 0.391 0.000
Tb: 0.891 0.609 0.000

**VASP energy**: -4.45 eV/atom
**Total moment**: 0.00 μB/f.u.
**V**: 317.8 Å³/f.u.

6.
Here is a relaxed Y2MgZn2 crystal from Alexandria. Energies are from PBE-GGA.

Lattice parameters (Å, degrees): 3.654 4.461 7.524 107.24 90.00 90.00
Atoms (fractional coordinates):
Zn: 0.000 0.201 0.402
Zn: 0.000 0.799 0.598
Mg: 0.000 0.000 0.000
Y: 0.500 0.629 0.257
Y: 0.500 0.371 0.743

**VASP energy**: -3.70 eV/atom
**Total moment**: 0.00 μB/f.u.
**V**: 117.1 Å³/f.u.

7.
Here is a relaxed TlTcPt2 crystal from Alexandria. Energies are from PBE-GGA.

Lattice parameters (Å, degrees): 4.594 4.594 4.594 60.00 60.00 60.00
Site moments in Bohr magnetons follow the coordinates.
Atoms (fractional coordinates):
Tc: 0.500 0.500 0.500  1.37
Pt: 0.250 0.250 0.250  0.17
Pt: 0.000 0.000 0.000  0.06
Tl: 0.750 0.750 0.750  -0.01

**VASP energy**: -5.87 eV/atom
**Total moment**: 1.67 μB/f.u.
**V**: 68.6 Å³/f.u.

8.
Here is a relaxed Ce4TmTh crystal from Alexandria. Energies are from PBE-GGA.

Lattice parameters (Å, degrees): 6.242 6.242 6.242 60.00 60.00 60.00
Site moments in Bohr magnetons follow the coordinates.
Atoms (fractional coordinates):
Ce: 0.625 0.625 0.125  0.54
Ce: 0.125 0.625 0.625  0.54
Ce: 0.625 0.625 0.625  0.54
Ce: 0.625 0.125 0.625  0.54
Th: 0.000 0.000 0.000  0.05
Tm: 0.250 0.250 0.250  0.04

**VASP energy**: -5.75 eV/atom
**Total moment**: 2.87 μB/f.u.
**V**: 172.0 Å³/f.u.

9.
Here is a relaxed NiRu2 crystal from Alexandria. Energies are from PBE-GGA.

Lattice parameters (Å, degrees): 2.685 5.767 2.685 76.54 90.00 103.46
Atoms (fractional coordinates):
Ru: 0.333 0.666 0.667
Ru: 0.667 0.334 0.333
Ni: 0.000 0.000 0.000

**VASP energy**: -7.98 eV/atom
**Total moment**: 0.01 μB/f.u.
**V**: 39.2 Å³/f.u.

10.
Here is a relaxed Na3TiPt crystal from Alexandria. Energies are from PBE-GGA.

Lattice parameters (Å, degrees): 5.327 5.327 5.327 90.00 90.00 90.00
Atoms (fractional coordinates):
Ti: 0.500 0.500 0.500
Na: 0.000 0.000 0.500
Na: 0.500 0.000 0.000
Na: 0.000 0.500 0.000
Pt: 0.000 0.000 0.000

**VASP energy**: -2.64 eV/atom
**Total moment**: 0.00 μB/f.u.
**V**: 151.1 Å³/f.u.

11.
Here is a relaxed TcMoP crystal from Alexandria. Energies are from PBE-GGA.

Lattice parameters (Å, degrees): 2.893 2.893 5.936 90.00 90.00 120.00
Atoms (fractional coordinates):
Tc: 0.333 0.667 0.643
P: 0.667 0.333 0.340
Mo: 0.000 0.000 0.017

**VASP energy**: -8.92 eV/atom
**Total moment**: 0.00 μB/f.u.
**V**: 43.0 Å³/f.u.

12.
Here is a relaxed LaPmGeI crystal from Alexandria. Energies are from PBE-GGA.

Lattice parameters (Å, degrees): 4.346 4.346 8.329 90.00 105.12 120.00
Atoms (fractional coordinates):
La: 0.102 0.949 0.067
Pm: 0.504 0.150 0.669
I: 0.971 0.384 0.370
Ge: 0.301 0.548 0.864

**Total moment**: 0.00 μB/f.u.
**ΔE_f (raw)**: -1.033 eV/atom
**V**: 129.9 Å³/f.u.